Record 1
First-principles (PBE) data for a geometry-optimized NdYGa2I2 structure, as listed in OQMD via LeMat-Bulk.

abc: 4.2550 4.2550 12.3543
angles: 90.00 90.00 120.00
Space group P3m1 (No. 156)
Symmetry-distinct sites (fractional):
Nd  0.0000  0.0000  0.0000 [1 per cell]
Y  0.0000  0.0000  0.3331 [1 per cell]
Ga  0.3333  0.6667  0.1962 [1 per cell]
Ga  0.6667  0.3333  0.1436 [1 per cell]
I  0.3333  0.6667  0.8313 [1 per cell]
I  0.6667  0.3333  0.4934 [1 per cell]

=====

Record 2
First-principles (PBE) data for a geometry-optimized GaNiI7 structure, as listed in OQMD via LeMat-Bulk.

abc: 7.232 7.028 16.049
angles: 90.00 103.11 90.00
Space group Pc (No. 7)
Symmetry-distinct sites (fractional):
Ga  0.000  0.001  0.000 [2 per cell]
Ni  0.714  0.354  0.347 [2 per cell]
I  0.030  0.158  0.355 [2 per cell]
I  0.043  0.356  0.010 [2 per cell]
I  0.232  0.158  0.632 [2 per cell]
I  0.457  0.420  0.866 [2 per cell]
I  0.486  0.171  0.223 [2 per cell]
I  0.668  0.164  0.484 [2 per cell]
I  0.788  0.440  0.734 [2 per cell]

=====

Record 3
First-principles (PBE) data for a geometry-optimized Y2GaNiI2 structure, as listed in OQMD via LeMat-Bulk.

abc: 4.1438 4.1438 11.9834
angles: 90.00 90.00 120.00
Space group P3m1 (No. 156)
Symmetry-distinct sites (fractional):
Y  0.0000  0.0000  0.0000 [1 per cell]
Y  0.0000  0.0000  0.3069 [1 per cell]
Ga  0.6667  0.3333  0.1506 [1 per cell]
Ni  0.3333  0.6667  0.1579 [1 per cell]
I  0.3333  0.6667  0.8267 [1 per cell]
I  0.6667  0.3333  0.4819 [1 per cell]

=====

Record 4
First-principles (PBE) data for a geometry-optimized Pr4GaI5 structure, as listed in OQMD via LeMat-Bulk.

abc: 19.808 4.382 9.161
angles: 90.00 102.56 90.00
Space group C2/m (No. 12)
Symmetry-distinct sites (fractional):
Pr  0.000  0.000  0.220 [4 per cell]
Pr  0.150  0.500  0.075 [4 per cell]
Ga  0.000  0.500  0.000 [2 per cell]
I  0.000  0.500  0.500 [2 per cell]
I  0.167  0.000  0.338 [4 per cell]
I  0.172  0.000  0.826 [4 per cell]

=====

Record 5
First-principles (PBE) data for a geometry-optimized Pr2GaSiI2 structure, as listed in OQMD via LeMat-Bulk.

abc: 4.2200 4.2200 12.5279
angles: 90.00 90.00 120.00
Space group P3m1 (No. 156)
Symmetry-distinct sites (fractional):
Pr  0.0000  0.0000  0.0000 [1 per cell]
Pr  0.0000  0.0000  0.3359 [1 per cell]
Ga  0.3333  0.6667  0.1830 [1 per cell]
Si  0.6667  0.3333  0.1547 [1 per cell]
I  0.3333  0.6667  0.8303 [1 per cell]
I  0.6667  0.3333  0.5063 [1 per cell]

=====

Record 6
First-principles (PBE) data for a geometry-optimized TbPrGa2I2 structure, as listed in OQMD via LeMat-Bulk.

abc: 4.2709 4.2709 11.8479
angles: 90.00 90.00 120.00
Space group P3m1 (No. 156)
Symmetry-distinct sites (fractional):
Tb  0.0000  0.0000  0.0000 [1 per cell]
Pr  0.0000  0.0000  0.6508 [1 per cell]
Ga  0.3333  0.6667  0.8579 [1 per cell]
Ga  0.6667  0.3333  0.8030 [1 per cell]
I  0.3333  0.6667  0.4729 [1 per cell]
I  0.6667  0.3333  0.1665 [1 per cell]

=====

Record 7
First-principles (PBE) data for a geometry-optimized PrTmGa2I2 structure, as listed in OQMD via LeMat-Bulk.

abc: 4.2387 4.2387 12.3635
angles: 90.00 90.00 120.00
Space group P3m1 (No. 156)
Symmetry-distinct sites (fractional):
Pr  0.0000  0.0000  0.0000 [1 per cell]
Tm  0.0000  0.0000  0.3320 [1 per cell]
Ga  0.3333  0.6667  0.2006 [1 per cell]
Ga  0.6667  0.3333  0.1460 [1 per cell]
I  0.3333  0.6667  0.8283 [1 per cell]
I  0.6667  0.3333  0.4888 [1 per cell]

=====

Record 8
First-principles (PBE) data for a geometry-optimized Sm2GaSiI2 structure, as listed in OQMD via LeMat-Bulk.

abc: 4.1696 4.1696 12.5421
angles: 90.00 90.00 120.00
Space group P3m1 (No. 156)
Symmetry-distinct sites (fractional):
Sm  0.0000  0.0000  0.0000 [1 per cell]
Sm  0.0000  0.0000  0.3256 [1 per cell]
Ga  0.6667  0.3333  0.1475 [1 per cell]
Si  0.3333  0.6667  0.1765 [1 per cell]
I  0.3333  0.6667  0.8338 [1 per cell]
I  0.6667  0.3333  0.4913 [1 per cell]

=====

Record 9
First-principles (PBE) data for a geometry-optimized SmTmGa2I2 structure, as listed in OQMD via LeMat-Bulk.

abc: 4.2102 4.2102 12.2026
angles: 90.00 90.00 120.00
Space group P3m1 (No. 156)
Symmetry-distinct sites (fractional):
Sm  0.0000  0.0000  0.0000 [1 per cell]
Tm  0.0000  0.0000  0.6689 [1 per cell]
Ga  0.3333  0.6667  0.8592 [1 per cell]
Ga  0.6667  0.3333  0.8034 [1 per cell]
I  0.3333  0.6667  0.5076 [1 per cell]
I  0.6667  0.3333  0.1678 [1 per cell]

=====

Record 10
First-principles (PBE) data for a geometry-optimized SmYGa2I2 structure, as listed in OQMD via LeMat-Bulk.

abc: 4.2315 4.2315 12.3154
angles: 90.00 90.00 120.00
Space group P3m1 (No. 156)
Symmetry-distinct sites (fractional):
Sm  0.0000  0.0000  0.0000 [1 per cell]
Y  0.0000  0.0000  0.3327 [1 per cell]
Ga  0.3333  0.6667  0.1948 [1 per cell]
Ga  0.6667  0.3333  0.1411 [1 per cell]
I  0.3333  0.6667  0.8336 [1 per cell]
I  0.6667  0.3333  0.4936 [1 per cell]

=====

Record 11
First-principles (PBE) data for a geometry-optimized TaGaI7 structure, as listed in OQMD via LeMat-Bulk.

abc: 8.011 6.909 17.282
angles: 90.00 99.30 90.00
Space group Pc (No. 7)
Symmetry-distinct sites (fractional):
Ta  0.000  0.090  0.000 [2 per cell]
Ga  0.253  0.492  0.138 [2 per cell]
I  0.116  0.149  0.398 [2 per cell]
I  0.240  0.128  0.634 [2 per cell]
I  0.302  0.320  0.005 [2 per cell]
I  0.468  0.378  0.253 [2 per cell]
I  0.748  0.146  0.528 [2 per cell]
I  0.822  0.330  0.901 [2 per cell]
I  0.952  0.320  0.134 [2 per cell]

=====

Record 12
First-principles (PBE) data for a geometry-optimized Tb4GaI5 structure, as listed in OQMD via LeMat-Bulk.

abc: 19.209 4.238 8.831
angles: 90.00 102.41 90.00
Space group C2/m (No. 12)
Symmetry-distinct sites (fractional):
Tb  0.000  0.000  0.215 [4 per cell]
Tb  0.147  0.500  0.074 [4 per cell]
Ga  0.000  0.500  0.000 [2 per cell]
I  0.000  0.500  0.500 [2 per cell]
I  0.167  0.000  0.337 [4 per cell]
I  0.173  0.000  0.829 [4 per cell]

=====

Number 1: total energy -4.462 eV per atom. Number 2: total energy -2.334 eV per atom. Number 3: total energy -5.103 eV per atom. Number 4: total energy -4.162 eV per atom. Number 5: total energy -4.596 eV per atom. Number 6: total energy -4.153 eV per atom. Number 7: total energy -4.094 eV per atom. Number 8: total energy -4.560 eV per atom. Number 9: total energy -4.079 eV per atom. Number 10: total energy -4.449 eV per atom. Number 11: total energy -3.255 eV per atom. Number 12: total energy -4.030 eV per atom.